No. 1
## TaReB2 (PBE)

Data for crystalline TaReB2 at its relaxed geometry.

Lattice parameters (Å, degrees): 3.1903 3.1903 15.5712 90.00 90.00 120.00
Last column: nearest neighbours and their distance in Å.
Space group R-3m (No. 166, hexagonal axes)
Unique sites:
Ta 0.0000 0.0000 0.0000  6 B 2.29
Re 0.0000 0.0000 0.5000  6 B 2.22
B 0.0000 0.0000 0.2461  3 Re 2.22, 3 Ta 2.29

**Density of states at the Fermi level**: 1.94 states/eV/f.u.
**Energy above the lowest structure with this stoichiometry**: 0 meV per atom

***

No. 2
## TaReB (PBE)

Data for crystalline TaReB at its relaxed geometry.

Lattice parameters (Å, degrees): 3.2465 14.8001 3.1520 90.00 90.00 90.00
Last column: nearest neighbours and their distance in Å.
Space group Cmcm (No. 63)
Unique sites:
Ta 0.0000 0.0862 0.2500  6 B 2.39-2.42
Re 0.0000 0.3012 0.2500  1 B 2.43
B 0.0000 0.4651 0.2500  2 B 1.88

**Density of states at the Fermi level**: 1.18 states/eV/f.u.
**Energy above the lowest structure with this stoichiometry**: 68 meV per atom

***

No. 3
## TaReB2 (PBE)

Data for crystalline TaReB2 at its relaxed geometry.

Lattice parameters (Å, degrees): 5.6250 5.6250 5.6250 90.00 90.00 90.00
Last column: nearest neighbours and their distance in Å.
Space group Fm-3m (No. 225)
Unique sites:
Ta 0.0000 0.0000 0.0000  8 B 2.44
Re 0.0000 0.0000 0.5000  8 B 2.44
B 0.2500 0.2500 0.2500  4 Re 2.44, 4 Ta 2.44

**Density of states at the Fermi level**: 1.59 states/eV/f.u.
**Energy above the lowest structure with this stoichiometry**: 410 meV per atom

***

No. 4
## TbRe2B6 (PBE)

Data for crystalline TbRe2B6 at its relaxed geometry.

Lattice parameters (Å, degrees): 3.1267 6.8055 8.6280 90.00 90.00 90.00
Last column: nearest neighbours and their distance in Å.
Space group Immm (No. 71)
Unique sites:
Tb 0.0000 0.0000 0.0000  12 B 2.79-2.85
Re 0.0000 0.5000 0.1593  10 B 2.17-2.35
B 0.0000 0.1613 0.5000  2 B 1.73
B 0.0000 0.2452 0.3103  3 B 1.73-1.88

**Density of states at the Fermi level**: 3.31 states/eV/f.u.

***

No. 5
## TbReB2 (PBE)

Data for crystalline TbReB2 at its relaxed geometry.

Lattice parameters (Å, degrees): 6.1322 3.3949 10.2565 90.00 90.00 90.00
Last column: nearest neighbours and their distance in Å.
Space group Pnma (No. 62)
Unique sites:
Tb 0.1094 0.2500 0.1380  8 B 2.65-2.78
Re 0.1243 0.2500 0.4372  5 B 2.26-2.47
B 0.0369 0.2500 0.6726  2 B 1.87
B 0.2324 0.2500 0.8131  2 B 1.87

**Density of states at the Fermi level**: 1.31 states/eV/f.u.
**Energy above the lowest structure with this stoichiometry**: 0 meV per atom

***

No. 6
## TbRe4B2 (PBE)

Data for crystalline TbRe4B2 at its relaxed geometry.

Lattice parameters (Å, degrees): 4.0835 13.2192 4.0432 90.00 90.00 90.00
Last column: nearest neighbours and their distance in Å.
Space group Cmmm (No. 65)
Unique sites:
Tb 0.0000 0.0000 0.0000  8 Re 3.11-3.25, 8 B 3.28
Re 0.0000 0.1784 0.5000  2 B 2.19
Re 0.0000 0.3085 0.0000  2 B 2.24
B 0.0000 0.3810 0.5000  4 Re 2.19-2.24

**Density of states at the Fermi level**: 4.65 states/eV/f.u.

***

No. 7
## Tb3Re3B8 (PBE)

Data for crystalline Tb3Re3B8 at its relaxed geometry.

Lattice parameters (Å, degrees): 3.1465 9.2289 12.3438 90.00 90.00 90.00
Last column: nearest neighbours and their distance in Å.
Space group Immm (No. 71)
Unique sites:
Tb 0.0000 0.0000 0.0000  12 B 2.77-2.96, 4 Re 3.01
Tb 0.0000 0.0000 0.2837  10 B 2.74-3.05
Re 0.0000 0.2219 0.5000  6 B 2.16-2.32
Re 0.0000 0.5000 0.0000  4 Re 2.58
B 0.0000 0.2390 0.1354  2 B 1.71
B 0.0000 0.3266 0.3436  2 B 1.71

**Density of states at the Fermi level**: 5.54 states/eV/f.u.

***

No. 8
## Tb3Re2B9 (PBE)

Data for crystalline Tb3Re2B9 at its relaxed geometry.

Lattice parameters (Å, degrees): 3.1330 8.1980 13.3247 90.00 90.00 90.00
Last column: nearest neighbours and their distance in Å.
Space group Immm (No. 71)
Unique sites:
Tb 0.0000 0.0000 0.0000  12 B 2.66-2.83
Tb 0.0000 0.0000 0.2671  12 B 2.76-2.93
Re 0.0000 0.1742 0.5000  4 B 2.12-2.19
B 0.0000 0.2517 0.1266  2 B 1.68
B 0.0000 0.3200 0.3626  2 B 1.68
B 0.0000 0.5000 0.0000  4 Re 2.12

**Density of states at the Fermi level**: 6.09 states/eV/f.u.

***

No. 9
## TbReB4 (PBE)

Data for crystalline TbReB4 at its relaxed geometry.

Lattice parameters (Å, degrees): 5.9890 11.5891 3.6266 90.00 90.00 90.00
Last column: nearest neighbours and their distance in Å.
Space group Pbam (No. 55)
Unique sites:
Tb 0.1262 0.1499 0.0000  14 B 2.67-2.82
Re 0.1320 0.4126 0.0000  10 B 2.33-2.39, 1 Re 2.57
B 0.0232 0.6919 0.5000  3 B 1.76-1.86
B 0.1134 0.5471 0.5000  3 B 1.74-1.76
B 0.1367 0.9685 0.5000  3 B 1.75-1.83
B 0.2137 0.8153 0.5000  3 B 1.83-1.86

**Density of states at the Fermi level**: 2.04 states/eV/f.u.
**Energy above the lowest structure with this stoichiometry**: 0 meV per atom

***

No. 10
## TbReB3 (PBE)

Data for crystalline TbReB3 at its relaxed geometry.

Lattice parameters (Å, degrees): 3.6276 20.6414 3.0856 90.00 90.00 90.00
Last column: nearest neighbours and their distance in Å.
Space group Cmcm (No. 63)
Unique sites:
Tb 0.0000 0.0802 0.2500  12 B 2.68-2.79
Re 0.0000 0.2082 0.7500  7 B 2.25-2.44
B 0.0000 0.3173 0.7500  2 B 1.74
B 0.0000 0.3565 0.2500  2 B 1.74
B 0.0000 0.4844 0.2500  2 B 1.67

**Density of states at the Fermi level**: 2.88 states/eV/f.u.

***

No. 11
## TbReB2 (PBE)

Data for crystalline TbReB2 at its relaxed geometry.

Lattice parameters (Å, degrees): 3.3960 3.3960 16.5556 90.00 90.00 120.00
Last column: nearest neighbours and their distance in Å.
Space group R-3m (No. 166, hexagonal axes)
Unique sites:
Tb 0.0000 0.0000 0.0000  6 B 2.60
Re 0.0000 0.0000 0.5000  6 B 2.22
B 0.0000 0.0000 0.2297  3 Re 2.22

**Density of states at the Fermi level**: 1.26 states/eV/f.u.
**Energy above the lowest structure with this stoichiometry**: 266 meV per atom

***

No. 12
## TbReB4 (PBE)

Data for crystalline TbReB4 at its relaxed geometry.

Lattice parameters (Å, degrees): 3.1588 5.3914 7.1287 90.00 90.00 90.00
Last column: nearest neighbours and their distance in Å.
Space group Immm (No. 71)
Unique sites:
Tb 0.0000 0.0000 0.0000  12 B 2.54-2.55
Re 0.0000 0.0000 0.5000  12 B 2.53-2.55
B 0.0000 0.3366 0.2486  3 B 1.76-1.83

**Density of states at the Fermi level**: 1.82 states/eV/f.u.
**Energy above the lowest structure with this stoichiometry**: 341 meV per atom

***

No. 13
## Re2TcB (PBE)

Data for crystalline Re2TcB at its relaxed geometry.

Lattice parameters (Å, degrees): 2.9086 9.3967 7.3319 90.00 90.00 90.00
Last column: nearest neighbours and their distance in Å.
Space group Cmcm (No. 63)
Unique sites:
Re 0.0000 0.1330 0.0644  2 B 2.25
Tc 0.0000 0.4233 0.2500  2 B 2.23
B 0.0000 0.2567 0.7500  2 Tc 2.23, 4 Re 2.25

**Density of states at the Fermi level**: 2.47 states/eV/f.u.

***

No. 14
## Re3TcB (PBE)

Data for crystalline Re3TcB at its relaxed geometry.

Lattice parameters (Å, degrees): 8.9164 4.1735 7.9890 90.00 115.74 90.00
Last column: nearest neighbours and their distance in Å.
Space group C2/m (No. 12)
Unique sites:
Re 0.1142 0.0000 0.4286  3 B 2.09-2.12
Re 0.1252 0.5000 0.1680  1 B 2.15
Re 0.1429 0.5000 0.7173  2 B 2.13-2.18
Tc 0.1245 0.0000 0.9348  9 Re 2.65-2.90, 3 Tc 2.83-2.90
B 0.1214 0.5000 0.4351  6 Re 2.09-2.18

**Density of states at the Fermi level**: 3.53 states/eV/f.u.
**Energy above the lowest structure with this stoichiometry**: 73 meV per atom

***

No. 15
## ReTcB3 (PBE)

Data for crystalline ReTcB3 at its relaxed geometry.

Lattice parameters (Å, degrees): 3.9953 3.9953 3.9953 90.00 90.00 90.00
Last column: nearest neighbours and their distance in Å.
Space group Pm-3m (No. 221)
Unique sites:
Re 0.0000 0.0000 0.0000  6 B 2.00
Tc 0.5000 0.5000 0.5000  12 B 2.83
B 0.0000 0.0000 0.5000  2 Re 2.00

**Density of states at the Fermi level**: 4.63 states/eV/f.u.
**Energy above the lowest structure with this stoichiometry**: 0 meV per atom

***

No. 16
## ReTc2B2 (PBE)

Data for crystalline ReTc2B2 at its relaxed geometry.

Lattice parameters (Å, degrees): 3.8721 3.8721 8.0837 90.00 90.00 90.00
Last column: nearest neighbours and their distance in Å.
Space group I4/mmm (No. 139)
Unique sites:
Re 0.0000 0.0000 0.0000  8 B 2.80, 10 Tc 2.83-2.99
Tc 0.0000 0.0000 0.3502  4 B 2.10
B 0.0000 0.5000 0.2500  4 Tc 2.10

**Density of states at the Fermi level**: 4.53 states/eV/f.u.
**Energy above the lowest structure with this stoichiometry**: 727 meV per atom

***

No. 17
## Re6TcB2 (PBE)

Data for crystalline Re6TcB2 at its relaxed geometry.

Lattice parameters (Å, degrees): 5.9542 8.9998 4.4542 90.00 92.73 90.00
Last column: nearest neighbours and their distance in Å.
Space group C2/m (No. 12)
Unique sites:
Re 0.1338 0.0000 0.2621  1 Tc 2.52, 2 B 2.53, 4 Re 2.56-2.76
Re 0.1588 0.2092 0.7501  1 B 2.25
Tc 0.0000 0.5000 0.0000  4 B 2.39, 2 Re 2.52
B 0.0000 0.4031 0.5000  1 B 1.74

**Density of states at the Fermi level**: 5.79 states/eV/f.u.

***

No. 18
## ReTc5B3 (PBE)

Data for crystalline ReTc5B3 at its relaxed geometry.

Lattice parameters (Å, degrees): 9.0527 6.3153 8.9444 90.00 117.43 90.00
Last column: nearest neighbours and their distance in Å.
Space group C2/m (No. 12)
Unique sites:
Re 0.2313 0.0000 0.2076  2 B 2.06-2.25
Tc 0.0000 0.1929 0.5000  1 B 1.94
Tc 0.0862 0.2726 0.9088  3 B 2.20-2.28
Tc 0.2231 0.5000 0.2007  1 B 2.22
Tc 0.2493 0.0000 0.4948  3 B 2.10-2.25
B 0.0000 0.0000 0.0000  2 Re 2.06, 4 Tc 2.20
B 0.0000 0.5000 0.5000  2 B 1.79, 2 Tc 1.94
B 0.0051 0.0000 0.7202  6 Tc 2.22-2.30
B 0.0088 0.5000 0.3040  1 B 1.79

**Density of states at the Fermi level**: 6.39 states/eV/f.u.

***

No. 19
## Re2TcB (PBE)

Data for crystalline Re2TcB at its relaxed geometry.

Lattice parameters (Å, degrees): 3.8524 3.8524 16.0165 90.00 90.00 90.00
Last column: nearest neighbours and their distance in Å.
Space group I-42d (No. 122)
Unique sites:
Re 0.1909 0.2500 0.1250  2 B 2.34, 2 Re 2.42, 2 Tc 2.52
Tc 0.0000 0.0000 0.5000  4 Re 2.52, 4 B 2.72
B 0.0000 0.0000 0.0000  4 Re 2.34

**Density of states at the Fermi level**: 2.25 states/eV/f.u.

***

No. 20
## Re3TcB (PBE)

Data for crystalline Re3TcB at its relaxed geometry.

Lattice parameters (Å, degrees): 9.1411 5.7922 6.8035 90.00 131.90 90.00
Last column: nearest neighbours and their distance in Å.
Space group C2/m (No. 12)
Unique sites:
Re 0.0250 0.2503 0.3168  2 B 2.11
Re 0.1978 0.0000 0.1452  1 B 2.14
Tc 0.1989 0.5000 0.1461  1 B 2.11
B 0.2504 0.0000 0.5020  5 Re 2.11-2.14, 1 Tc 2.11

**Density of states at the Fermi level**: 3.44 states/eV/f.u.
**Energy above the lowest structure with this stoichiometry**: 0 meV per atom

***

Number 1: formation energy from the elements -279 meV per atom. Number 2: formation energy from the elements -499 meV per atom. Number 3: formation energy from the elements 132 meV per atom. Number 4: formation energy from the elements -401 meV per atom. Number 5: formation energy from the elements -355 meV per atom. Number 6: formation energy from the elements -92 meV per atom. Number 7: formation energy from the elements -124 meV per atom. Number 8: formation energy from the elements -239 meV per atom. Number 9: formation energy from the elements -582 meV per atom. Number 10: formation energy from the elements -343 meV per atom. Number 11: formation energy from the elements -89 meV per atom. Number 12: formation energy from the elements -241 meV per atom. Number 13: formation energy from the elements -227 meV per atom. Number 14: formation energy from the elements 30 meV per atom. Number 15: formation energy from the elements 1410 meV per atom. Number 16: formation energy from the elements 546 meV per atom. Number 17: formation energy from the elements 50 meV per atom. Number 18: formation energy from the elements 212 meV per atom. Number 19: formation energy from the elements 803 meV per atom. Number 20: formation energy from the elements -43 meV per atom.